# 1
The following is a DFT calculation (PBE-GGA) of crystalline Sr3Mg3Ga2 at its relaxed geometry.

- calculated formation energy (meV/atom) = -227
- total energy (eV per atom) = -2.213

abc: 6.399 8.791 17.380
angles: 90.00 90.00 90.00
Sites, in units of the cell vectors:
Mg 0.109 0.171 0.534
Mg 0.109 0.171 0.966
Mg 0.891 0.829 0.466
Mg 0.125 0.172 0.250
Mg 0.609 0.329 0.466
Mg 0.375 0.672 0.250
Mg 0.891 0.829 0.034
Mg 0.609 0.329 0.034
Mg 0.391 0.671 0.534
Mg 0.625 0.328 0.750
Mg 0.391 0.671 0.966
Mg 0.875 0.828 0.750
Ga 0.613 0.619 0.392
Ga 0.887 0.119 0.108
Ga 0.113 0.881 0.892
Ga 0.613 0.619 0.108
Ga 0.887 0.119 0.392
Ga 0.387 0.381 0.608
Ga 0.387 0.381 0.892
Ga 0.113 0.881 0.608
Sr 0.859 0.834 0.250
Sr 0.359 0.666 0.750
Sr 0.886 0.534 0.608
Sr 0.114 0.466 0.392
Sr 0.614 0.034 0.608
Sr 0.114 0.466 0.108
Sr 0.614 0.034 0.892
Sr 0.386 0.966 0.392
Sr 0.641 0.334 0.250
Sr 0.386 0.966 0.108
Sr 0.886 0.534 0.892
Sr 0.141 0.166 0.750



# 2
The following is a DFT calculation (PBE-GGA) of crystalline Mn3Tc at its relaxed geometry.

- calculated formation energy (meV/atom) = 70
- total energy (eV per atom) = -9.398

abc: 2.584 2.584 7.348
angles: 90.00 90.00 90.03
Sites, in units of the cell vectors:
Tc 0.500 0.500 0.250
Mn 0.500 0.500 0.750
Mn 0.000 0.000 0.981
Mn 0.000 0.000 0.519



# 3
The following is a DFT calculation (PBE-GGA) of crystalline CuWSe2 at its relaxed geometry.

- energy above the most stable polymorph in this dataset (eV per atom) = 0.6882
- total energy (eV per atom) = -5.468
- formation energy (no corrections) (eV/atom) = 0.537

abc: 4.330 2.645 6.688
angles: 111.35 90.00 90.00
Sites, in units of the cell vectors:
Cu 0.500 0.750 0.750
Se 0.000 0.489 0.495
Se 0.000 0.011 0.005
W 0.500 0.250 0.250



# 4
The following is a DFT calculation (PBE-GGA) of crystalline KMg2Te at its relaxed geometry.

- total energy (eV per atom) = -2.016
- formation energy (no corrections) (eV/atom) = -0.159

abc: 4.000 4.000 8.103
angles: 90.00 90.00 90.02
Sites, in units of the cell vectors:
Mg 0.000 0.000 0.436
Mg 0.000 0.000 0.064
Te 0.500 0.500 0.250
K 0.500 0.500 0.750



# 5
The following is a DFT calculation (PBE-GGA) of crystalline SrCuRh at its relaxed geometry.

- calculated formation energy (meV/atom) = -5
- energy above the most stable polymorph in this dataset (eV per atom) = 0.1977
- total energy (eV per atom) = -4.382

abc: 5.695 5.695 3.479
angles: 72.22 72.21 35.57
Sites, in units of the cell vectors:
Rh 0.379 0.379 0.621
Cu 0.951 0.951 0.049
Sr 0.669 0.669 0.331



# 6
The following is a DFT calculation (PBE-GGA) of crystalline KAs3F at its relaxed geometry.

- energy above the most stable polymorph in this dataset (eV per atom) = 1.4181
- total energy (eV per atom) = -1.902
- formation energy (no corrections) (eV/atom) = 1.482

abc: 5.692 5.692 5.692
angles: 90.00 90.00 90.00
Sites, in units of the cell vectors:
As 0.000 0.000 0.500
As 0.000 0.500 0.000
As 0.500 0.000 0.000
F 0.500 0.500 0.500
K 0.000 0.000 0.000



# 7
The following is a DFT calculation (PBE-GGA) of crystalline ScCuMo2 at its relaxed geometry.

- calculated formation energy (meV/atom) = 200
- energy above the most stable polymorph in this dataset (eV per atom) = 0.1599
- total energy (eV per atom) = -7.823

abc: 2.718 2.718 8.709
angles: 90.00 90.00 90.00
Sites, in units of the cell vectors:
Cu 0.500 0.500 0.759
Sc 0.000 0.000 0.516
Mo 0.000 0.000 0.980
Mo 0.500 0.500 0.245



# 8
The following is a DFT calculation (PBE-GGA) of crystalline MgSiTcNi at its relaxed geometry.

- total energy (eV per atom) = -6.016
- formation energy (no corrections) (eV/atom) = -0.224

abc: 4.196 4.196 4.196
angles: 60.00 60.00 60.00
Sites, in units of the cell vectors:
Ni 0.250 0.250 0.250
Tc 0.750 0.750 0.750
Si 0.500 0.500 0.500
Mg 0.000 0.000 0.000



# 9
The following is a DFT calculation (PBE-GGA) of crystalline KAlH8Rh2 at its relaxed geometry.

- total energy (eV per atom) = -3.969

abc: 4.614 4.614 7.109
angles: 71.06 71.06 60.00
Sites, in units of the cell vectors:
H 0.217 0.217 0.348
H 0.733 0.064 0.825
H 0.379 0.733 0.825
H 0.064 0.379 0.825
H 0.783 0.783 0.652
H 0.267 0.936 0.175
H 0.621 0.267 0.175
H 0.936 0.621 0.175
Rh 0.702 0.702 0.894
Rh 0.298 0.298 0.106
Al 0.000 0.000 0.000
K 0.500 0.500 0.500



# 10
The following is a DFT calculation (PBE-GGA) of crystalline ZnInSe2 at its relaxed geometry.

- total energy (eV per atom) = -3.039
- formation energy (no corrections) (eV/atom) = -0.294

abc: 8.007 8.007 8.007
angles: 29.40 29.40 29.40
Sites, in units of the cell vectors:
Zn 0.523 0.523 0.523
In 0.743 0.743 0.743
Se 0.215 0.215 0.215
Se 0.018 0.018 0.018



# 11
The following is a DFT calculation (PBE-GGA) of crystalline TeMoPb2 at its relaxed geometry.

- total energy (eV per atom) = -5.013
- formation energy (no corrections) (eV/atom) = 0.334

abc: 7.411 7.411 7.411
angles: 153.52 143.27 45.85
Sites, in units of the cell vectors:
Te 0.424 0.424 0.000
Mo 0.268 0.768 0.500
Pb 0.741 0.241 0.500
Pb 0.066 0.066 0.000



# 12
The following is a DFT calculation (PBE-GGA) of crystalline K2Na9Ca at its relaxed geometry.

- calculated formation energy (meV/atom) = 55
- total energy (eV per atom) = -1.284

abc: 7.093 7.093 12.431
angles: 73.42 73.42 60.00
Sites, in units of the cell vectors:
Na 0.581 0.079 0.759
Na 0.667 0.667 0.000
Na 0.581 0.581 0.759
Na 0.500 0.500 0.500
Na 0.079 0.581 0.759
Na 0.921 0.419 0.241
Na 0.419 0.921 0.241
Na 0.333 0.333 0.000
Na 0.419 0.419 0.241
K 0.860 0.860 0.419
K 0.140 0.140 0.581
Ca 0.000 0.000 0.000



# 13
The following is a DFT calculation (PBE-GGA) of crystalline Ac12SnRu6 at its relaxed geometry.

- calculated formation energy (meV/atom) = -177
- total energy (eV per atom) = -5.912

abc: 9.303 9.303 9.303
angles: 109.47 109.47 109.47
Sites, in units of the cell vectors:
Ac 0.693 0.503 0.810
Ac 0.190 0.307 0.497
Ac 0.307 0.117 0.810
Ac 0.503 0.810 0.693
Ac 0.307 0.497 0.190
Ac 0.190 0.693 0.883
Ac 0.693 0.883 0.190
Ac 0.810 0.693 0.503
Ac 0.810 0.307 0.117
Ac 0.883 0.190 0.693
Ac 0.497 0.190 0.307
Ac 0.117 0.810 0.307
Ru 0.881 0.381 0.500
Ru 0.619 0.500 0.119
Ru 0.119 0.619 0.500
Ru 0.500 0.881 0.381
Ru 0.381 0.500 0.881
Ru 0.500 0.119 0.619
Sn 0.000 0.000 0.000



# 14
The following is a DFT calculation (PBE-GGA) of crystalline B2PbF8 at its relaxed geometry.

- total energy (eV per atom) = -5.666
- formation energy (no corrections) (eV/atom) = -2.753

abc: 5.428 5.939 5.939
angles: 120.00 90.00 90.00
Sites, in units of the cell vectors:
F 0.746 0.797 0.203
F 0.254 0.594 0.797
F 0.254 0.203 0.797
F 0.093 0.667 0.333
F 0.254 0.203 0.406
F 0.907 0.333 0.667
F 0.746 0.406 0.203
F 0.746 0.797 0.594
B 0.159 0.333 0.667
B 0.841 0.667 0.333
Pb 0.500 0.000 0.000



# 15
The following is a DFT calculation (PBE-GGA) of crystalline SrZr2Cr at its relaxed geometry.

- calculated formation energy (meV/atom) = 776
- energy above the most stable polymorph in this dataset (eV per atom) = 0.4390
- total energy (eV per atom) = -6.324

abc: 5.112 5.112 5.112
angles: 60.00 60.00 60.00
Sites, in units of the cell vectors:
Cr 0.000 0.000 0.000
Zr 0.750 0.750 0.750
Zr 0.250 0.250 0.250
Sr 0.500 0.500 0.500



# 16
The following is a DFT calculation (PBE-GGA) of crystalline In2AgRu at its relaxed geometry.

- calculated formation energy (meV/atom) = 199
- total energy (eV per atom) = -4.202

abc: 3.644 3.644 5.793
angles: 90.00 90.00 90.00
Sites, in units of the cell vectors:
Ru 0.000 0.000 0.476
In 0.000 0.000 0.975
In 0.500 0.500 0.289
Ag 0.500 0.500 0.760



# 17
The following is a DFT calculation (PBE-GGA) of crystalline Pm2Y4C at its relaxed geometry.

- calculated formation energy (meV/atom) = -115
- total energy (eV per atom) = -6.484

abc: 3.612 3.612 18.217
angles: 84.31 84.31 60.00
Sites, in units of the cell vectors:
Pm 0.246 0.246 0.263
Pm 0.754 0.754 0.737
Y 0.860 0.860 0.420
Y 0.358 0.358 0.925
Y 0.140 0.140 0.580
Y 0.642 0.642 0.075
C 0.000 0.000 0.000



# 18
The following is a DFT calculation (PBE-GGA) of crystalline CdNiW2 at its relaxed geometry.

- calculated formation energy (meV/atom) = 895
- total energy (eV per atom) = -7.256

abc: 3.705 3.705 10.262
angles: 79.60 79.60 90.00
Sites, in units of the cell vectors:
Ni 0.250 0.750 0.500
Ni 0.500 0.500 0.000
W 0.619 0.125 0.250
W 0.375 0.381 0.750
W 0.131 0.625 0.250
W 0.875 0.869 0.750
Cd 0.000 0.000 0.000
Cd 0.750 0.250 0.500



# 19
The following is a DFT calculation (PBE-GGA) of crystalline TaAs2BrN at its relaxed geometry.

- energy above the most stable polymorph in this dataset (eV per atom) = 0.0000
- total energy (eV per atom) = -5.196
- formation energy (no corrections) (eV/atom) = 1.034

abc: 4.253 4.253 4.538
angles: 90.00 90.00 90.00
Sites, in units of the cell vectors:
Ta 0.500 0.500 0.500
As 0.000 0.500 0.000
As 0.500 0.000 0.000
Br 0.000 0.000 0.500
N 0.000 0.000 0.000



# 20
The following is a DFT calculation (PBE-GGA) of crystalline LiB2C2 at its relaxed geometry.

- calculated formation energy (meV/atom) = -12
- energy above the most stable polymorph in this dataset (eV per atom) = 0.0573
- total energy (eV per atom) = -6.756

abc: 8.779 8.779 2.729
angles: 90.00 90.00 116.32
Sites, in units of the cell vectors:
C 0.196 0.975 0.500
C 0.786 0.036 0.500
C 0.534 0.784 0.000
C 0.289 0.539 0.500
C 0.725 0.446 0.500
C 0.970 0.703 0.000
C 0.453 0.220 0.000
C 0.040 0.290 0.000
Li 0.266 0.269 0.500
Li 0.979 0.976 0.000
Li 0.726 0.229 0.000
Li 0.019 0.516 0.500
B 0.282 0.054 0.000
B 0.706 0.956 0.000
B 0.804 0.532 0.000
B 0.542 0.297 0.500
B 0.047 0.792 0.500
B 0.215 0.465 0.000
B 0.959 0.209 0.500
B 0.462 0.712 0.500



The following magnetic moment values (in μB per atom) correspond, in order, to the records above: 0.000, 0.451, 0.000, 0.000, 0.000, 0.527, 0.000, 0.000, 0.000, 0.000, 0.000, 0.000, 0.000, 0.000, 0.486, 0.000, 0.000, 0.000, 0.022, 0.000.